The following is a DFT calculation (PBE) of a relaxed NaTmCl4 crystal.

a = 6.5202 Å, b = 7.1837 Å, c = 8.7489 Å
α = 111.21°, β = 108.59°, γ = 97.53°
Closest atoms and distances in Å follow each position.
Sites, in units of the cell vectors:
Na1 0.5653 0.3153 0.6305  4 Cl 2.73-2.88
Na2 0.4347 0.6847 0.3695  4 Cl 2.73-2.88
Cl1 0.9206 0.1728 0.9090  2 Tm 2.63-2.72
Cl2 0.5116 0.2639 0.0910  2 Tm 2.63-2.72
Cl3 0.8201 0.6278 0.6052  1 Tm 2.55, 1 Na 2.73
Cl4 0.1799 0.3722 0.3948  1 Tm 2.55, 1 Na 2.73
Cl5 0.4884 0.7361 0.9090  2 Tm 2.63-2.72
Cl6 0.0794 0.8272 0.0910  2 Tm 2.63-2.72
Cl7 0.2850 0.9774 0.6052  1 Tm 2.55, 1 Na 2.73
Cl8 0.7150 0.0226 0.3948  1 Tm 2.55, 1 Na 2.73
Tm1 0.8296 0.0796 0.1593  6 Cl 2.55-2.72
Tm2 0.1704 0.9204 0.8407  6 Cl 2.55-2.72

## Properties
The density of states at the Fermi level is 0.0 states/eV per cell. The calculation puts the relative energy among the computed polymorphs at 0.14 eV/f.u. The size of the total moment is 0.0 μB per cell. For the total energy, the calculation gives -4.30 eV/atom. Its formation energy (no corrections) is -203.1 kJ per mole of atoms.